Record 1
{"formula": "BC5", "functional": "PBE-GGA", "state": "relaxed", "cell": [[6.690, -1.256, 0.000], [6.690, 1.256, 0.000], [-1.420, 0.000, 4.305]], "species": ["B", "B", "C", "C", "C", "C", "C", "C", "C", "C", "C", "C"], "frac_coords": [[0.000, 0.000, 0.000], [0.166, 0.166, 0.840], [0.125, 0.125, 0.134], [0.293, 0.293, 0.956], [0.330, 0.330, 0.656], [0.450, 0.450, 0.757], [0.495, 0.495, 0.483], [0.616, 0.616, 0.597], [0.664, 0.664, 0.330], [0.788, 0.788, 0.451], [0.831, 0.831, 0.160], [0.953, 0.953, 0.284]], "e_above_lowest_polymorph_mev_per_atom": 50.3, "spacegroup": "Cm", "energy_ev_per_cell": -102.5, "e_form_mev_per_atom": 259}

=====

Record 2
{"formula": "InPPd5", "functional": "PBE-GGA", "state": "relaxed", "cell": [[3.982, 0.000, 0.000], [0.000, 3.982, 0.000], [0.000, 0.000, 7.020]], "species": ["In", "P", "Pd", "Pd", "Pd", "Pd", "Pd"], "frac_coords": [[0.000, 0.000, 0.000], [0.500, 0.500, 0.500], [0.000, 0.500, 0.299], [0.000, 0.500, 0.701], [0.500, 0.000, 0.299], [0.500, 0.000, 0.701], [0.500, 0.500, 0.000]], "e_above_lowest_polymorph_mev_per_atom": 0.0, "spacegroup": "P4/mmm", "energy_ev_per_cell": -38.0, "e_form_mev_per_atom": -552}

=====

Record 3
{"formula": "TaAlTe2O", "functional": "PBE-GGA", "state": "relaxed", "cell": [[5.480, 0.000, 0.000], [0.000, 5.480, 0.000], [0.000, 0.000, 3.804]], "species": ["Ta", "Al", "Te", "Te", "O"], "frac_coords": [[0.000, 0.000, 0.000], [0.500, 0.500, 0.000], [0.000, 0.500, 0.500], [0.500, 0.000, 0.500], [0.000, 0.000, 0.500]], "raw_formation_energy_ev_per_fu": 0.04, "spacegroup": "P4/mmm", "energy_ev_per_cell": -26.8}

=====

Record 4
{"formula": "Ba2CaH6Ir", "functional": "PBE-GGA", "state": "relaxed", "cell": [[5.752, 0.000, 0.000], [-2.876, 4.981, 0.000], [0.000, 0.000, 6.239]], "species": ["Ba", "Ba", "Ca", "H", "H", "H", "H", "H", "H", "Ir"], "frac_coords": [[0.333, 0.667, 0.323], [0.667, 0.333, 0.677], [0.000, 0.000, 0.000], [0.138, 0.277, 0.664], [0.138, 0.862, 0.664], [0.277, 0.138, 0.336], [0.723, 0.862, 0.664], [0.862, 0.138, 0.336], [0.862, 0.723, 0.336], [0.000, 0.000, 0.500]], "spacegroup": "P-3m1", "energy_ev_per_cell": -39.4}

=====

Record 5
{"formula": "NdSbP", "functional": "PBE-GGA", "state": "relaxed", "cell": [[6.067, 0.000, 0.000], [0.000, 6.327, 0.000], [0.000, 0.000, 8.155]], "species": ["Nd", "Nd", "Nd", "Nd", "Sb", "Sb", "Sb", "Sb", "P", "P", "P", "P"], "frac_coords": [[0.000, 0.250, 0.161], [0.000, 0.750, 0.839], [0.500, 0.250, 0.839], [0.500, 0.750, 0.161], [0.000, 0.000, 0.500], [0.000, 0.500, 0.500], [0.500, 0.000, 0.500], [0.500, 0.500, 0.500], [0.000, 0.250, 0.810], [0.000, 0.750, 0.190], [0.500, 0.250, 0.190], [0.500, 0.750, 0.810]], "raw_formation_energy_ev_per_fu": -2.30, "spacegroup": "Cmme", "energy_ev_per_cell": -66.4}

=====

Record 6
{"formula": "Tb5Dy3Tm", "functional": "PBE-GGA", "state": "relaxed", "cell": [[8.018, -3.332, 0.000], [8.018, 3.332, 0.000], [-3.494, 0.000, 11.030]], "species": ["Tb", "Tb", "Tb", "Tb", "Tb", "Tb", "Tb", "Tb", "Tb", "Tb", "Dy", "Dy", "Dy", "Dy", "Dy", "Dy", "Tm", "Tm"], "frac_coords": [[0.081, 0.487, 0.736], [0.127, 0.239, 0.951], [0.212, 0.788, 0.750], [0.239, 0.127, 0.451], [0.487, 0.081, 0.236], [0.513, 0.919, 0.764], [0.761, 0.873, 0.549], [0.788, 0.212, 0.250], [0.873, 0.761, 0.049], [0.919, 0.513, 0.264], [0.000, 0.000, 0.000], [0.000, 0.000, 0.500], [0.343, 0.443, 0.482], [0.443, 0.343, 0.982], [0.557, 0.657, 0.018], [0.657, 0.557, 0.518], [0.295, 0.705, 0.250], [0.705, 0.295, 0.750]], "e_above_lowest_polymorph_mev_per_atom": 0.0, "spacegroup": "C2/c", "energy_ev_per_cell": -78.9, "e_form_mev_per_atom": 219}

=====

Record 7
{"formula": "Nd4Sm3Y4", "functional": "PBE-GGA", "state": "relaxed", "cell": [[10.746, 0.000, 0.000], [0.000, 2.887, 6.089], [0.000, -2.887, 6.089]], "species": ["Nd", "Nd", "Nd", "Nd", "Sm", "Sm", "Sm", "Y", "Y", "Y", "Y"], "frac_coords": [[0.000, 0.000, 0.000], [0.209, 0.797, 0.797], [0.500, 0.921, 0.921], [0.791, 0.797, 0.797], [0.000, 0.293, 0.293], [0.294, 0.445, 0.445], [0.706, 0.445, 0.445], [0.000, 0.593, 0.593], [0.299, 0.141, 0.141], [0.500, 0.650, 0.650], [0.701, 0.141, 0.141]], "e_above_lowest_polymorph_mev_per_atom": 19.5, "spacegroup": "Amm2", "energy_ev_per_cell": -57.5, "e_form_mev_per_atom": 146}

=====

Record 8
{"formula": "Cd12Ag6Sn", "functional": "PBE-GGA", "state": "relaxed", "cell": [[6.045, 3.490, 3.214], [-6.045, 3.490, 3.214], [0.000, -6.980, 3.214]], "species": ["Cd", "Cd", "Cd", "Cd", "Cd", "Cd", "Cd", "Cd", "Cd", "Cd", "Cd", "Cd", "Ag", "Ag", "Ag", "Ag", "Ag", "Ag", "Sn"], "frac_coords": [[0.001, 0.267, 0.734], [0.196, 0.570, 0.573], [0.266, 0.999, 0.733], [0.267, 0.734, 0.001], [0.427, 0.804, 0.430], [0.430, 0.427, 0.804], [0.570, 0.573, 0.196], [0.573, 0.196, 0.570], [0.733, 0.266, 0.999], [0.734, 0.001, 0.267], [0.804, 0.430, 0.427], [0.999, 0.733, 0.266], [0.163, 0.420, 0.165], [0.165, 0.163, 0.420], [0.420, 0.165, 0.163], [0.580, 0.835, 0.837], [0.835, 0.837, 0.580], [0.837, 0.580, 0.835], [0.000, 0.000, 0.000]], "e_above_lowest_polymorph_mev_per_atom": 52.8, "spacegroup": "R-3", "energy_ev_per_cell": -31.4, "e_form_mev_per_atom": 36}

=====

Record 9
{"formula": "Ti5Ru4W", "functional": "PBE-GGA", "state": "relaxed", "cell": [[3.090, 0.000, 0.000], [0.000, 3.090, 0.000], [0.000, 0.000, 15.640]], "species": ["Ti", "Ti", "Ti", "Ti", "Ti", "Ru", "Ru", "Ru", "Ru", "W"], "frac_coords": [[0.000, 0.000, 0.000], [0.000, 0.000, 0.198], [0.000, 0.000, 0.395], [0.000, 0.000, 0.605], [0.000, 0.000, 0.802], [0.500, 0.500, 0.098], [0.500, 0.500, 0.295], [0.500, 0.500, 0.705], [0.500, 0.500, 0.902], [0.500, 0.500, 0.500]], "spacegroup": "P4/mmm", "energy_ev_per_cell": -95.6, "e_form_mev_per_atom": -609}

=====

Record 10
{"formula": "TlZnRe", "functional": "PBE-GGA", "state": "relaxed", "cell": [[3.325, 0.000, 0.000], [0.000, 4.683, 0.000], [0.000, 0.000, 14.384]], "species": ["Tl", "Tl", "Tl", "Tl", "Zn", "Zn", "Zn", "Zn", "Re", "Re", "Re", "Re"], "frac_coords": [[0.000, 0.000, 0.000], [0.000, 0.500, 0.500], [0.500, 0.000, 0.500], [0.500, 0.500, 0.000], [0.000, 0.000, 0.685], [0.000, 0.500, 0.185], [0.500, 0.000, 0.185], [0.500, 0.500, 0.685], [0.000, 0.000, 0.323], [0.000, 0.500, 0.823], [0.500, 0.000, 0.823], [0.500, 0.500, 0.323]], "e_above_lowest_polymorph_mev_per_atom": 63.0, "spacegroup": "Fmm2", "energy_ev_per_cell": -54.8, "e_form_mev_per_atom": 793}

=====

Record 11
{"formula": "UGePbO6", "functional": "PBE-GGA", "state": "relaxed", "cell": [[5.401, 0.000, 0.000], [-2.700, 4.677, 0.000], [0.000, 0.000, 10.840]], "species": ["U", "U", "Ge", "Ge", "Pb", "Pb", "O", "O", "O", "O", "O", "O", "O", "O", "O", "O", "O", "O"], "frac_coords": [[0.333, 0.667, 0.250], [0.667, 0.333, 0.750], [0.333, 0.667, 0.750], [0.667, 0.333, 0.250], [0.000, 0.000, 0.000], [0.000, 0.000, 0.500], [0.023, 0.384, 0.650], [0.023, 0.639, 0.850], [0.361, 0.384, 0.850], [0.361, 0.977, 0.650], [0.384, 0.023, 0.150], [0.384, 0.361, 0.350], [0.616, 0.639, 0.650], [0.616, 0.977, 0.850], [0.639, 0.023, 0.350], [0.639, 0.616, 0.150], [0.977, 0.361, 0.150], [0.977, 0.616, 0.350]], "raw_formation_energy_ev_per_fu": -19.00, "spacegroup": "P-31c", "energy_ev_per_cell": -136.7}

=====

Record 12
{"formula": "AgHg8O6", "functional": "PBE-GGA", "state": "relaxed", "cell": [[5.465, 3.155, 3.458], [-5.465, 3.155, 3.458], [0.000, -6.310, 3.458]], "species": ["Ag", "Hg", "Hg", "Hg", "Hg", "Hg", "Hg", "Hg", "Hg", "O", "O", "O", "O", "O", "O"], "frac_coords": [[0.000, 0.000, 0.000], [0.132, 0.738, 0.516], [0.258, 0.258, 0.258], [0.262, 0.484, 0.868], [0.484, 0.868, 0.262], [0.516, 0.132, 0.738], [0.738, 0.516, 0.132], [0.742, 0.742, 0.742], [0.868, 0.262, 0.484], [0.159, 0.371, 0.580], [0.371, 0.580, 0.159], [0.420, 0.841, 0.629], [0.580, 0.159, 0.371], [0.629, 0.420, 0.841], [0.841, 0.629, 0.420]], "raw_formation_energy_ev_per_fu": -1.43, "spacegroup": "R-3", "energy_ev_per_cell": -36.4}